[1]
A plane-wave DFT calculation with PBE was carried out for crystalline SbPW4C2 at its relaxed geometry.

a b c (Å): 3.254 3.254 12.298
angles (deg): 90.00 90.00 120.00
Positions (direct):
W  0.000  0.000  0.689
W  0.000  0.000  0.311
W  0.667  0.333  0.135
W  0.667  0.333  0.865
C  0.333  0.667  0.764
C  0.333  0.667  0.236
P  0.000  0.000  0.000
Sb  0.667  0.333  0.500

Computed properties:
E_tot = -9.7850 eV/atom
Space-group type = No. 187
Density = 13.43 g cm⁻³

=====

[2]
A plane-wave DFT calculation with PBE was carried out for crystalline ErLuIn2Ir4 at its relaxed geometry.

a b c (Å): 4.540 4.540 8.820
angles (deg): 90.00 90.00 120.00
Positions (direct):
Ir  0.000  0.000  0.644
Ir  0.667  0.333  0.146
Ir  0.667  0.333  0.854
Ir  0.000  0.000  0.356
Er  0.000  0.000  0.000
In  0.333  0.667  0.750
In  0.333  0.667  0.250
Lu  0.667  0.333  0.500

Computed properties:
E_tot = -6.6998 eV/atom
Space-group type = No. 187
Density = 14.14 g cm⁻³

=====

[3]
A plane-wave DFT calculation with PBE was carried out for crystalline HoAlTc at its relaxed geometry.

a b c (Å): 4.479 4.479 4.479
angles (deg): 60.00 60.00 60.00
Positions (direct):
Al  0.000  0.000  0.000
Ho  0.250  0.250  0.250
Tc  0.750  0.750  0.750

Computed properties:
E_tot = -5.9834 eV/atom
Space-group type = No. 216
Density = 7.58 g cm⁻³

=====

[4]
A plane-wave DFT calculation with PBE was carried out for crystalline Lu4AlInC2 at its relaxed geometry.

a b c (Å): 3.491 3.491 15.803
angles (deg): 90.00 90.00 120.00
Positions (direct):
In  0.667  0.333  0.500
Lu  0.000  0.000  0.671
Lu  0.667  0.333  0.837
Lu  0.667  0.333  0.163
Lu  0.000  0.000  0.329
C  0.333  0.667  0.247
C  0.333  0.667  0.753
Al  0.000  0.000  0.000

Computed properties:
E_tot = -5.7782 eV/atom
Space-group type = No. 187
Density = 8.62 g cm⁻³